# NiAgBIr | the Open Quantum Materials Database | PBE | optimized geometry
# Raw total energy in eV per atom: -5.4072
data_NiAgBIr
_symmetry_space_group_name_H-M 'F -4 3 m'
_symmetry_Int_Tables_number 216
_symmetry_space_group_name_Hall 'F -4 2 3'
_cell_length_a 5.801
_cell_length_b 5.801
_cell_length_c 5.801
_cell_angle_alpha 90.00
_cell_angle_beta 90.00
_cell_angle_gamma 90.00
loop_
_atom_site_label
_atom_site_fract_x
_atom_site_fract_y
_atom_site_fract_z
Ni1 0.000 0.000 0.000
Ag1 0.250 0.250 0.750
B1 0.000 0.000 0.500
Ir1 0.250 0.250 0.250